1.
! GaAuSe2N PBE relaxed; values from VASP
&SYSTEM
  ibrav = 0, nat = 5, ntyp = 4
/
ATOMIC_SPECIES
Ga 69.72 Ga.upf
Au 196.97 Au.upf
Se 78.96 Se.upf
N 14.01 N.upf
CELL_PARAMETERS angstrom
5.433 0.000 0.000
0.000 5.433 0.000
0.000 0.000 3.755
ATOMIC_POSITIONS angstrom
Ga 0.000 0.000 0.000
Au 2.717 2.717 1.878
Se 0.000 2.717 1.878
Se 2.717 0.000 1.878
N 2.717 2.717 0.000
! SG	P4/mmm
! excess energy over the best structure of this formula in the dataset	1.98	kcal/mol of atoms
! E_tot	-3.42	eV per atom
! E_form (uncorrected)	0.901	eV/atom

---

2.
! Ga2SnAuN PBE relaxed; values from VASP
&SYSTEM
  ibrav = 0, nat = 5, ntyp = 4
/
ATOMIC_SPECIES
Ga 69.72 Ga.upf
Sn 118.71 Sn.upf
Au 196.97 Au.upf
N 14.01 N.upf
CELL_PARAMETERS angstrom
4.261 0.000 0.000
0.000 4.261 0.000
0.000 0.000 5.006
ATOMIC_POSITIONS angstrom
Ga 0.000 2.131 0.000
Ga 2.131 0.000 0.000
Sn 0.000 0.000 2.503
Au 2.131 2.131 2.503
N 2.131 2.131 0.000
! SG	P4/mmm
! E_tot	-3.87	eV per atom
! E_form (uncorrected)	0.459	eV/atom

---

3.
! Sr2GaAuN PBE relaxed; values from VASP
&SYSTEM
  ibrav = 0, nat = 5, ntyp = 4
/
ATOMIC_SPECIES
Sr 87.62 Sr.upf
Ga 69.72 Ga.upf
Au 196.97 Au.upf
N 14.01 N.upf
CELL_PARAMETERS angstrom
5.332 0.000 0.000
0.000 5.332 0.000
0.000 0.000 4.091
ATOMIC_POSITIONS angstrom
Sr 0.000 2.666 0.000
Sr 2.666 0.000 0.000
Ga 0.000 0.000 2.045
Au 2.666 2.666 2.045
N 0.000 0.000 0.000
! SG	P4/mmm
! excess energy over the best structure of this formula in the dataset	3.43	kcal/mol of atoms
! E_tot	-4.08	eV per atom
! E_form (uncorrected)	-0.483	eV/atom

---

4.
! Sr2GaAuN PBE relaxed; values from VASP
&SYSTEM
  ibrav = 0, nat = 10, ntyp = 4
/
ATOMIC_SPECIES
Sr 87.62 Sr.upf
Ga 69.72 Ga.upf
Au 196.97 Au.upf
N 14.01 N.upf
CELL_PARAMETERS angstrom
7.301 0.000 0.000
0.000 4.139 0.000
-2.718 0.000 7.997
ATOMIC_POSITIONS angstrom
Sr 0.239 1.035 3.103
Sr -1.190 1.035 7.646
Sr 5.772 3.104 0.352
Sr 4.343 3.104 4.894
Ga 2.566 3.104 2.075
Ga 2.016 1.035 5.922
Au 0.464 3.104 5.617
Au 4.119 1.035 2.380
N 0.824 3.104 1.340
N 3.758 1.035 6.657
! SG	P2_1/m
! excess energy over the best structure of this formula in the dataset	0.00	kcal/mol of atoms
! E_tot	-4.23	eV per atom
! E_form (uncorrected)	-0.631	eV/atom

---

5.
! GaTe2AuN PBE relaxed; values from VASP
&SYSTEM
  ibrav = 0, nat = 5, ntyp = 4
/
ATOMIC_SPECIES
Ga 69.72 Ga.upf
Te 127.60 Te.upf
Au 196.97 Au.upf
N 14.01 N.upf
CELL_PARAMETERS angstrom
5.874 0.000 0.000
0.000 5.874 0.000
0.000 0.000 3.748
ATOMIC_POSITIONS angstrom
Ga 0.000 0.000 0.000
Te 0.000 2.937 1.874
Te 2.937 0.000 1.874
Au 2.937 2.937 1.874
N 2.937 2.937 0.000
! SG	P4/mmm
! excess energy over the best structure of this formula in the dataset	2.80	kcal/mol of atoms
! E_tot	-3.35	eV per atom
! E_form (uncorrected)	0.833	eV/atom

---

6.
! GaTe2AuN PBE relaxed; values from VASP
&SYSTEM
  ibrav = 0, nat = 5, ntyp = 4
/
ATOMIC_SPECIES
Ga 69.72 Ga.upf
Te 127.60 Te.upf
Au 196.97 Au.upf
N 14.01 N.upf
CELL_PARAMETERS angstrom
5.791 0.000 0.000
0.000 5.791 0.000
0.000 0.000 3.444
ATOMIC_POSITIONS angstrom
Ga 0.000 0.000 0.000
Te 0.000 2.896 0.000
Te 2.896 0.000 0.000
Au 2.896 2.896 1.722
N 0.000 0.000 1.722
! SG	P4/mmm
! excess energy over the best structure of this formula in the dataset	0.00	kcal/mol of atoms
! E_tot	-3.47	eV per atom
! E_form (uncorrected)	0.712	eV/atom

---

7.
! GaTeAuN2 PBE relaxed; values from VASP
&SYSTEM
  ibrav = 0, nat = 5, ntyp = 4
/
ATOMIC_SPECIES
Ga 69.72 Ga.upf
Te 127.60 Te.upf
Au 196.97 Au.upf
N 14.01 N.upf
CELL_PARAMETERS angstrom
3.954 0.000 0.000
0.000 3.954 0.000
0.000 0.000 6.180
ATOMIC_POSITIONS angstrom
Ga 0.000 0.000 0.000
Te 0.000 0.000 3.090
Au 1.977 1.977 3.090
N 0.000 1.977 0.000
N 1.977 0.000 0.000
! SG	P4/mmm
! excess energy over the best structure of this formula in the dataset	0.00	kcal/mol of atoms
! E_tot	-4.02	eV per atom
! E_form (uncorrected)	1.199	eV/atom

---

8.
! GaTeAuN2 PBE relaxed; values from VASP
&SYSTEM
  ibrav = 0, nat = 5, ntyp = 4
/
ATOMIC_SPECIES
Ga 69.72 Ga.upf
Te 127.60 Te.upf
Au 196.97 Au.upf
N 14.01 N.upf
CELL_PARAMETERS angstrom
3.997 0.000 0.000
0.000 3.997 0.000
0.000 0.000 8.102
ATOMIC_POSITIONS angstrom
Ga 0.000 0.000 0.000
Te 1.998 1.998 0.000
Au 1.998 1.998 4.051
N 0.000 1.998 4.051
N 1.998 0.000 4.051
! SG	P4/mmm
! excess energy over the best structure of this formula in the dataset	6.90	kcal/mol of atoms
! E_tot	-3.72	eV per atom
! E_form (uncorrected)	1.498	eV/atom

---

Which formula does entry 1 have? GaAuSe2N